# 1
# Sr3Ge2H2Au4

Crystalline Sr3Ge2H2Au4 at its relaxed geometry (PBE, Alexandria via LeMat-Bulk).

```
11
Lattice="-2.089 2.089 14.277 2.089 -2.089 14.277 2.089 2.089 -14.277" Properties=species:S:1:pos:R:3 pbc="T T T"
Sr 0.000 0.000 0.000
Sr 0.000 0.000 5.479
Sr 0.000 0.000 23.076
Ge 0.000 0.000 12.962
Ge 0.000 0.000 15.593
H 0.000 0.000 7.948
H 0.000 0.000 20.607
Au 2.089 0.000 2.947
Au 2.089 0.000 11.331
Au 0.000 2.089 2.947
Au 0.000 2.089 11.331
```

Properties
Fermi-level density of states, states/eV/cell: 3.9
V, Å³/cell: 249.2
DFT total energy, eV per atom: -3.4423
SG: No. 139
Total moment, μB per cell: 0.00



# 2
# HfAlTe

Crystalline HfAlTe at its relaxed geometry (PBE, Alexandria via LeMat-Bulk).

```
6
Lattice="3.594 0.000 0.000 0.000 3.594 0.000 0.000 0.000 10.627" Properties=species:S:1:pos:R:3 pbc="T T T"
Hf 0.898 0.898 2.381
Hf 2.695 2.695 8.246
Al 0.898 0.898 10.006
Al 2.695 2.695 0.621
Te 0.898 0.898 6.822
Te 2.695 2.695 3.805
```

Properties
Fermi-level density of states, states/eV/cell: 5.1
Relative energy among the computed polymorphs, eV/atom: 0.088
V, Å³/cell: 137.3
DFT total energy, eV per atom: -6.0163
SG: No. 129
Total moment, μB per cell: 0.00